No. 1
The following is a DFT calculation (PBE-GGA) of a relaxed Tm2Zn16Si crystal.

The space group is R3m (No. 160, hexagonal axes) and the conventional cell measures 9.0229, 9.0229 and 12.9115 Å, with angles of 90.00, 90.00 and 120.00 degrees. The distinct sites, in fractional coordinates, are Tm at (0.0000, 0.0000, 0.0000), Tm at (0.0000, 0.0000, 0.3348), Zn at (0.0000, 0.0000, 0.7578), Zn at (0.0004, 0.3098, 0.6664), Zn at (0.0107, 0.5053, 0.8222), Zn at (0.1707, 0.3415, 0.5002), Zn at (0.1723, 0.3445, 0.8436) and Si at (0.0000, 0.0000, 0.5625).

Its total energy is -2.007 eV per atom.

=====

No. 2
The following is a DFT calculation (PBE-GGA) of a relaxed Tm3Zn2Si4 crystal.

The space group is C2/m (No. 12) and the conventional cell measures 10.623, 4.053 and 8.232 Å, with angles of 90.00, 109.80 and 90.00 degrees. The distinct sites, in fractional coordinates, are Tm at (0.000, 0.000, 0.000), Tm at (0.125, 0.500, 0.693), Zn at (0.174, 0.500, 0.330), Si at (0.083, 0.000, 0.410) and Si at (0.220, 0.500, 0.058).

Its total energy is -4.730 eV per atom.